The following is a GGA+U calculation of a geometry-optimized VCoPbO4 structure, from Alexandria.

Computed properties:
Its total energy is -90.7 eV for the cell shown. For the total magnetization, the calculation gives 8.000 Bohr magnetons per cell. The space group is P2_1/m.

```
14
Lattice="5.591 0.000 0.306 0.000 5.746 0.000 -1.779 0.000 6.293" Properties=species:S:1:pos:R:3 pbc="T T T"
V 1.110 4.309 2.184
V 2.702 1.436 4.414
Co 3.992 4.309 3.300
Co -0.180 1.436 3.298
Pb 2.559 4.309 6.215
Pb 1.253 1.436 0.383
O 4.103 2.710 4.634
O -0.292 5.583 1.964
O -0.292 3.036 1.964
O 4.103 0.163 4.634
O 2.041 4.309 0.685
O 1.771 1.436 5.913
O 1.959 4.309 3.757
O 1.852 1.436 2.841
```